No. 1
{"formula": "Ac2Ga3Ge", "functional": "PBE-GGA", "state": "relaxed", "e_tot_ev_per_atom": -4.324, "ef_kj_per_mol_fu": -388.7, "lattice": [[6.407, -0.016, 0.000], [-0.411, 6.394, 0.000], [-2.998, -3.189, 7.567]], "species": ["Ge", "Ge", "Ac", "Ac", "Ac", "Ac", "Ga", "Ga", "Ga", "Ga", "Ga", "Ga"], "frac_coords": [[0.333, 0.333, 0.666], [0.667, 0.667, 0.334], [0.746, 0.254, 0.000], [0.250, 0.750, 0.500], [0.750, 0.250, 0.500], [0.254, 0.746, 0.000], [0.165, 0.165, 0.331], [0.670, 0.670, 0.834], [0.835, 0.835, 0.669], [0.164, 0.164, 0.834], [0.330, 0.330, 0.166], [0.836, 0.836, 0.166]]}



No. 2
{"formula": "Y2ZnGaC", "functional": "PBE-GGA", "state": "relaxed", "e_tot_ev_per_atom": -5.591, "ef_kj_per_mol_fu": -144.7, "lattice": [[-2.178, -1.904, -4.035], [3.495, -3.519, -0.226], [-2.220, -2.354, 2.309]], "species": ["Zn", "Y", "Y", "Ga", "C"], "frac_coords": [[0.000, 0.000, 0.500], [0.500, 0.000, 0.000], [0.000, 0.500, 0.000], [0.500, 0.500, 0.500], [0.000, 0.000, 0.000]]}



No. 3
{"formula": "SrHg4Pb2", "functional": "PBE-GGA", "state": "relaxed", "e_tot_ev_per_atom": -1.689, "ef_kj_per_mol_fu": -146.5, "lattice": [[-0.041, 2.969, -4.323], [1.595, -4.938, -0.225], [-6.051, -7.141, -4.848]], "species": ["Hg", "Hg", "Hg", "Hg", "Pb", "Pb", "Sr"], "frac_coords": [[0.542, 0.084, 0.689], [0.175, 0.351, 0.738], [0.458, 0.916, 0.311], [0.825, 0.649, 0.262], [0.280, 0.561, 0.079], [0.720, 0.439, 0.921], [0.000, 0.000, 0.500]]}



No. 4
{"formula": "ZrTc2Os2", "functional": "PBE-GGA", "state": "relaxed", "e_tot_ev_per_atom": -10.398, "ef_kj_per_mol_fu": -24.1, "lattice": [[-6.225, 3.482, 2.734], [-4.116, -2.818, -5.784], [-0.592, -2.249, 1.517]], "species": ["Tc", "Tc", "Tc", "Tc", "Zr", "Zr", "Os", "Os", "Os", "Os"], "frac_coords": [[0.172, 0.672, 0.500], [0.828, 0.328, 0.500], [0.328, 0.172, 0.500], [0.672, 0.828, 0.500], [0.500, 0.500, 0.000], [0.000, 0.000, 0.000], [0.123, 0.377, 0.000], [0.377, 0.877, 0.000], [0.623, 0.123, 0.000], [0.877, 0.623, 0.000]]}



No. 5
{"formula": "V2SbTe2", "functional": "PBE-GGA", "state": "relaxed", "e_tot_ev_per_atom": -5.652, "formation_energy_uncorrected_ev_per_atom": 0.08, "lattice": [[7.795, 0.000, 0.000], [0.000, 7.795, 0.000], [0.000, 0.000, 3.430]], "species": ["Te", "Te", "Te", "Te", "V", "V", "V", "V", "Sb", "Sb"], "frac_coords": [[0.646, 0.854, 0.500], [0.146, 0.646, 0.500], [0.354, 0.146, 0.500], [0.854, 0.354, 0.500], [0.640, 0.140, 0.000], [0.140, 0.360, 0.000], [0.360, 0.860, 0.000], [0.860, 0.640, 0.000], [0.500, 0.500, 0.000], [0.000, 0.000, 0.000]]}